(1)
Compound: HfMnTlF6
Source: Alexandria
Functional: GGA+U
Structure: optimized geometry

```
data_HfMnTlF6
_chemical_formula_sum 'Hf2 Mn2 Tl2 F12'
_symmetry_space_group_name_H-M 'P -3 1 c'
_symmetry_Int_Tables_number 163
_symmetry_space_group_name_Hall '-P 3 2c'
_cell_length_a 5.8296
_cell_length_b 5.8296
_cell_length_c 13.4514
_cell_angle_alpha 90.00
_cell_angle_beta 90.00
_cell_angle_gamma 120.00
loop_
_atom_site_label
_atom_site_fract_x
_atom_site_fract_y
_atom_site_fract_z
_atom_site_occupancy
Hf1 0.3333 0.6667 0.2500 1
Mn1 0.3333 0.6667 0.7500 1
Tl1 0.0000 0.0000 0.0000 1
F1 0.0222 0.3915 0.1699 1
```

Calculated values
Calculated total energy in eV/atom: -6.24

=====

(2)
Compound: HfMn2WF
Source: Alexandria
Functional: GGA+U
Structure: optimized geometry

```
data_HfMn2WF
_chemical_formula_sum 'Hf1 Mn2 W1 F1'
_symmetry_space_group_name_H-M 'P 4/m m m'
_symmetry_Int_Tables_number 123
_symmetry_space_group_name_Hall '-P 4 2'
_cell_length_a 4.3944
_cell_length_b 4.3944
_cell_length_c 4.5926
_cell_angle_alpha 90.00
_cell_angle_beta 90.00
_cell_angle_gamma 90.00
loop_
_atom_site_label
_atom_site_fract_x
_atom_site_fract_y
_atom_site_fract_z
_atom_site_occupancy
Hf1 0.0000 0.0000 0.0000 1
Mn1 0.0000 0.5000 0.5000 1
W1 0.5000 0.5000 0.0000 1
F1 0.5000 0.5000 0.5000 1
```

Calculated values
Calculated total energy in eV/atom: -6.52

=====

(3)
Compound: HfMoF3
Source: Alexandria
Functional: GGA+U
Structure: optimized geometry

```
data_HfMoF3
_chemical_formula_sum 'Hf1 Mo1 F3'
_symmetry_space_group_name_H-M 'P m -3 m'
_symmetry_Int_Tables_number 221
_symmetry_space_group_name_Hall '-P 4 2 3'
_cell_length_a 4.4369
_cell_length_b 4.4369
_cell_length_c 4.4369
_cell_angle_alpha 90.00
_cell_angle_beta 90.00
_cell_angle_gamma 90.00
loop_
_atom_site_label
_atom_site_fract_x
_atom_site_fract_y
_atom_site_fract_z
_atom_site_occupancy
Hf1 0.0000 0.0000 0.0000 1
Mo1 0.5000 0.5000 0.5000 1
F1 0.0000 0.5000 0.5000 1
```

Calculated values
Energy relative to the lowest polymorph listed for this composition in meV per atom: 826

=====

(4)
Compound: Hf2MoF
Source: Alexandria
Functional: GGA+U
Structure: optimized geometry

```
data_Hf2MoF
_chemical_formula_sum 'Hf8 Mo4 F4'
_symmetry_space_group_name_H-M 'I -4 2 d'
_symmetry_Int_Tables_number 122
_symmetry_space_group_name_Hall 'I -4 2bw'
_cell_length_a 6.8529
_cell_length_b 6.8529
_cell_length_c 6.2064
_cell_angle_alpha 90.00
_cell_angle_beta 90.00
_cell_angle_gamma 90.00
loop_
_atom_site_label
_atom_site_fract_x
_atom_site_fract_y
_atom_site_fract_z
_atom_site_occupancy
Hf1 0.1755 0.2500 0.1250 1
Mo1 0.0000 0.0000 0.5000 1
F1 0.0000 0.0000 0.0000 1
```

Calculated values
Energy relative to the lowest polymorph listed for this composition in meV per atom: 0

=====

(5)
Compound: HfMoF3
Source: Alexandria
Functional: GGA+U
Structure: optimized geometry

```
data_HfMoF3
_chemical_formula_sum 'Hf1 Mo1 F3'
_symmetry_space_group_name_H-M 'P m -3 m'
_symmetry_Int_Tables_number 221
_symmetry_space_group_name_Hall '-P 4 2 3'
_cell_length_a 4.3496
_cell_length_b 4.3496
_cell_length_c 4.3496
_cell_angle_alpha 90.00
_cell_angle_beta 90.00
_cell_angle_gamma 90.00
loop_
_atom_site_label
_atom_site_fract_x
_atom_site_fract_y
_atom_site_fract_z
_atom_site_occupancy
Hf1 0.0000 0.0000 0.0000 1
Mo1 0.5000 0.5000 0.5000 1
F1 0.0000 0.0000 0.5000 1
```

Calculated values
Energy relative to the lowest polymorph listed for this composition in meV per atom: 0

=====

(6)
Compound: Hf2MoF
Source: Alexandria
Functional: GGA+U
Structure: optimized geometry

```
data_Hf2MoF
_chemical_formula_sum 'Hf8 Mo4 F4'
_symmetry_space_group_name_H-M 'F m -3 m'
_symmetry_Int_Tables_number 225
_symmetry_space_group_name_Hall '-F 4 2 3'
_cell_length_a 6.5709
_cell_length_b 6.5709
_cell_length_c 6.5709
_cell_angle_alpha 90.00
_cell_angle_beta 90.00
_cell_angle_gamma 90.00
loop_
_atom_site_label
_atom_site_fract_x
_atom_site_fract_y
_atom_site_fract_z
_atom_site_occupancy
Hf1 0.2500 0.2500 0.2500 1
Mo1 0.0000 0.0000 0.0000 1
F1 0.0000 0.0000 0.5000 1
```

Calculated values
Energy relative to the lowest polymorph listed for this composition in meV per atom: 331

=====

(7)
Compound: Hf3MoF
Source: Alexandria
Functional: GGA+U
Structure: optimized geometry

```
data_Hf3MoF
_chemical_formula_sum 'Hf3 Mo1 F1'
_symmetry_space_group_name_H-M 'P m -3 m'
_symmetry_Int_Tables_number 221
_symmetry_space_group_name_Hall '-P 4 2 3'
_cell_length_a 5.0678
_cell_length_b 5.0678
_cell_length_c 5.0678
_cell_angle_alpha 90.00
_cell_angle_beta 90.00
_cell_angle_gamma 90.00
loop_
_atom_site_label
_atom_site_fract_x
_atom_site_fract_y
_atom_site_fract_z
_atom_site_occupancy
Hf1 0.0000 0.0000 0.5000 1
Mo1 0.0000 0.0000 0.0000 1
F1 0.5000 0.5000 0.5000 1
```

Calculated values
Energy relative to the lowest polymorph listed for this composition in meV per atom: 1098

=====

(8)
Compound: Hf3MoF
Source: Alexandria
Functional: GGA+U
Structure: optimized geometry

```
data_Hf3MoF
_chemical_formula_sum 'Hf3 Mo1 F1'
_symmetry_space_group_name_H-M 'P m -3 m'
_symmetry_Int_Tables_number 221
_symmetry_space_group_name_Hall '-P 4 2 3'
_cell_length_a 4.5353
_cell_length_b 4.5353
_cell_length_c 4.5353
_cell_angle_alpha 90.00
_cell_angle_beta 90.00
_cell_angle_gamma 90.00
loop_
_atom_site_label
_atom_site_fract_x
_atom_site_fract_y
_atom_site_fract_z
_atom_site_occupancy
Hf1 0.0000 0.0000 0.5000 1
Mo1 0.5000 0.5000 0.5000 1
F1 0.0000 0.0000 0.0000 1
```

Calculated values
Energy relative to the lowest polymorph listed for this composition in meV per atom: 0

=====

(9)
Compound: HfMoNF2
Source: Alexandria
Functional: GGA+U
Structure: optimized geometry

```
data_HfMoNF2
_chemical_formula_sum 'Hf1 Mo1 N1 F2'
_symmetry_space_group_name_H-M 'P 4/m m m'
_symmetry_Int_Tables_number 123
_symmetry_space_group_name_Hall '-P 4 2'
_cell_length_a 4.0818
_cell_length_b 4.0818
_cell_length_c 4.4531
_cell_angle_alpha 90.00
_cell_angle_beta 90.00
_cell_angle_gamma 90.00
loop_
_atom_site_label
_atom_site_fract_x
_atom_site_fract_y
_atom_site_fract_z
_atom_site_occupancy
Hf1 0.0000 0.0000 0.0000 1
Mo1 0.5000 0.5000 0.5000 1
N1 0.5000 0.5000 0.0000 1
F1 0.0000 0.5000 0.5000 1
```

Calculated values
Energy relative to the lowest polymorph listed for this composition in meV per atom: 930

=====

(10)
Compound: HfMoNF2
Source: Alexandria
Functional: GGA+U
Structure: optimized geometry

```
data_HfMoNF2
_chemical_formula_sum 'Hf1 Mo1 N1 F2'
_symmetry_space_group_name_H-M 'P 4/m m m'
_symmetry_Int_Tables_number 123
_symmetry_space_group_name_Hall '-P 4 2'
_cell_length_a 4.2094
_cell_length_b 4.2094
_cell_length_c 4.2247
_cell_angle_alpha 90.00
_cell_angle_beta 90.00
_cell_angle_gamma 90.00
loop_
_atom_site_label
_atom_site_fract_x
_atom_site_fract_y
_atom_site_fract_z
_atom_site_occupancy
Hf1 0.0000 0.0000 0.0000 1
Mo1 0.5000 0.5000 0.5000 1
N1 0.0000 0.0000 0.5000 1
F1 0.0000 0.5000 0.0000 1
```

Calculated values
Energy relative to the lowest polymorph listed for this composition in meV per atom: 0

=====

(11)
Compound: HfMoOF2
Source: Alexandria
Functional: GGA+U
Structure: optimized geometry

```
data_HfMoOF2
_chemical_formula_sum 'Hf1 Mo1 O1 F2'
_symmetry_space_group_name_H-M 'P 4/m m m'
_symmetry_Int_Tables_number 123
_symmetry_space_group_name_Hall '-P 4 2'
_cell_length_a 4.3575
_cell_length_b 4.3575
_cell_length_c 4.0580
_cell_angle_alpha 90.00
_cell_angle_beta 90.00
_cell_angle_gamma 90.00
loop_
_atom_site_label
_atom_site_fract_x
_atom_site_fract_y
_atom_site_fract_z
_atom_site_occupancy
Hf1 0.0000 0.0000 0.0000 1
Mo1 0.5000 0.5000 0.5000 1
O1 0.0000 0.0000 0.5000 1
F1 0.0000 0.5000 0.0000 1
```

Calculated values
Energy relative to the lowest polymorph listed for this composition in meV per atom: 0

=====

(12)
Compound: HfMoOF2
Source: Alexandria
Functional: GGA+U
Structure: optimized geometry

```
data_HfMoOF2
_chemical_formula_sum 'Hf1 Mo1 O1 F2'
_symmetry_space_group_name_H-M 'P 4/m m m'
_symmetry_Int_Tables_number 123
_symmetry_space_group_name_Hall '-P 4 2'
_cell_length_a 4.2819
_cell_length_b 4.2819
_cell_length_c 4.1756
_cell_angle_alpha 90.00
_cell_angle_beta 90.00
_cell_angle_gamma 90.00
loop_
_atom_site_label
_atom_site_fract_x
_atom_site_fract_y
_atom_site_fract_z
_atom_site_occupancy
Hf1 0.0000 0.0000 0.0000 1
Mo1 0.5000 0.5000 0.5000 1
O1 0.5000 0.5000 0.0000 1
F1 0.0000 0.5000 0.5000 1
```

Calculated values
Energy relative to the lowest polymorph listed for this composition in meV per atom: 1053